RbUB | PBE | relaxed

```
RbUB
1.0
0.293 -2.856 3.592
-2.922 -3.532 0.374
1.506 -4.303 -0.601
B U Rb
1 1 1
Direct
0.500 0.500 0.500
0.250 0.250 0.250
0.000 0.000 0.000
```

Properties
- Calculated volume: 69 Å³/cell
- E_tot: -12.8 eV/cell
- Crystal system: cubic

=====

RbB2W2 | PBE | relaxed

```
RbB2W2
1.0
-3.307 1.126 -1.990
-0.316 -3.690 -1.565
-3.751 -1.873 5.174
W B Rb
2 2 1
Direct
0.500 0.000 0.500
0.000 0.500 0.500
0.500 0.500 0.361
0.500 0.500 0.639
0.000 0.000 0.000
```

Properties
- Calculated volume: 108 Å³/cell
- E_tot: -36.2 eV/cell
- Crystal system: tetragonal

=====

- Look up the calculated volume of the second one.
  108 Å³/cell